# 1
Compound: MnB2PbN
Source: Alexandria via LeMat-Bulk
Functional: PBE
Structure: relaxed

It has space group P4/mmm (No. 123), with a = 3.619 Å, b = 3.619 Å, c = 5.088 Å, α = 90.00°, β = 90.00° and γ = 90.00°. Symmetry generates all atoms from Mn at (0.000, 0.000, 0.000), B at (0.000, 0.500, 0.500), Pb at (0.500, 0.500, 0.000) and N at (0.500, 0.500, 0.500).

The calculation puts the formation energy without anion corrections at 1.74 eV/atom. As for the density of states at the Fermi level: 3.06 states/eV per cell. As for the spin magnetization: 2.869 Bohr magnetons per cell.

# 2
Compound: Nd5HoSc2
Source: Alexandria via LeMat-Bulk
Functional: PBE
Structure: relaxed

It has space group Pbam (No. 55), with a = 7.098 Å, b = 14.200 Å, c = 5.035 Å, α = 90.00°, β = 90.00° and γ = 90.00°. Symmetry generates all atoms from Nd at (0.000, 0.000, 0.000), Nd at (0.002, 0.252, 0.000), Nd at (0.247, 0.624, 0.500), Ho at (0.000, 0.500, 0.000) and Sc at (0.250, 0.376, 0.500).

As for the density of states at the Fermi level: 21.43 states/eV per cell. As for the spin magnetization: 0.000 Bohr magnetons per cell. As for the offset from the most stable computed form: 0.0 meV/atom. The value obtained for the formation energy is 0.038 eV/atom.

# 3
Compound: Na2SrGeS4
Source: Alexandria via LeMat-Bulk
Functional: PBE
Structure: relaxed

It has space group Imma (No. 74), with a = 7.749 Å, b = 8.186 Å, c = 11.531 Å, α = 90.00°, β = 90.00° and γ = 90.00°. Symmetry generates all atoms from Na at (0.000, 0.000, 0.000), Na at (0.250, 0.250, 0.250), Sr at (0.000, 0.000, 0.500), Ge at (0.250, 0.250, 0.750), S at (0.000, 0.031, 0.753) and S at (0.241, 0.250, 0.955).

The calculation puts the formation energy without anion corrections at -0.95 eV/atom. As for the density of states at the Fermi level: 2.31 states/eV per cell. As for the spin magnetization: 0.000 Bohr magnetons per cell.